[1]
DFT (PBE) results for a relaxed structure of ZnGa2F.

a b c (Å): 4.7780 4.7780 7.7896
angles (deg): 72.14 72.14 90.00
Sites, in units of the cell vectors:
Zn1 0.0000 0.0000 0.0000
Zn2 0.7500 0.2500 0.5000
Ga1 0.8750 0.8025 0.7500
Ga2 0.5525 0.1250 0.2500
Ga3 0.3750 0.4475 0.7500
Ga4 0.1975 0.6250 0.2500
F1 0.5000 0.5000 0.0000
F2 0.2500 0.7500 0.5000

Results
As for the electronic total energy: -2.82 eV per atom. The calculation puts the distance to the lowest polymorph of the same formula at 0.000 eV/atom. The calculation puts the total magnetization at 0.000 μB/f.u. The volume comes out at 20.03 Å³/atom. The uncorrected formation energy is -202 kJ/mol of formula units.

[2]
DFT (PBE) results for a relaxed structure of CaHo6Tm.

a b c (Å): 6.7353 6.5976 6.8840
angles (deg): 103.97 62.74 87.48
Sites, in units of the cell vectors:
Ho1 0.0953 0.7181 0.4691
Ho2 0.5752 0.7586 0.5168
Ho3 0.9047 0.2819 0.5309
Ho4 0.4555 0.2546 0.9959
Ho5 0.4248 0.2414 0.4832
Ho6 0.5445 0.7454 0.0041
Tm1 0.0000 0.5000 0.0000
Ca1 0.0000 0.0000 0.0000

Results
As for the electronic total energy: -4.01 eV per atom. The formation energy is 0.2329 eV/atom. The calculation puts the total magnetization at 0.000 μB/f.u. The volume comes out at 32.45 Å³/atom.